DFT (PBE) results for a relaxed structure of NpMn5Rh6.

For the total magnetization, the calculation gives 10.411 μB per cell. The formation energy comes out at -21.1 kJ/mol of atoms. For the electronic total energy, the calculation gives -0.64630 Ry per atom.

a b c (Å): 6.602 6.602 6.841
angles (deg): 90.00 90.00 143.12
Element x y z (fractional)
Np (0.000, 0.000, 0.000)
Mn (0.000, 0.000, 0.500)
Mn (0.325, 0.675, 0.000)
Mn (0.336, 0.664, 0.500)
Mn (0.664, 0.336, 0.500)
Mn (0.675, 0.325, 0.000)
Rh (0.168, 0.832, 0.258)
Rh (0.168, 0.832, 0.742)
Rh (0.500, 0.500, 0.252)
Rh (0.500, 0.500, 0.748)
Rh (0.832, 0.168, 0.258)
Rh (0.832, 0.168, 0.742)